a) Here is crystalline Li3Sc2Tl4 at its relaxed geometry from the Alexandria database. Energies are from PBE-GGA.

The structure in CIF format:
```
data_Li3Sc2Tl4
_chemical_formula_sum 'Li6 Sc4 Tl8'
_symmetry_space_group_name_H-M 'C 1 2/m 1'
_symmetry_Int_Tables_number 12
_cell_length_a 8.469
_cell_length_b 4.881
_cell_length_c 9.719
_cell_angle_alpha 90.00
_cell_angle_beta 90.23
_cell_angle_gamma 90.00
loop_
_symmetry_equiv_pos_as_xyz
'x,y,z'
'-x,-y,-z'
'-x,y,-z'
'x,-y,z'
'x+1/2,y+1/2,z'
'-x+1/2,-y+1/2,-z'
'-x+1/2,y+1/2,-z'
'x+1/2,-y+1/2,z'
loop_
_atom_site_label
_atom_site_type_symbol
_atom_site_fract_x
_atom_site_fract_y
_atom_site_fract_z
Li1 Li 0.000 0.000 0.000
Li2 Li 0.166 0.500 0.562
Sc1 Sc 0.167 0.500 0.212
Tl1 Tl 0.001 0.000 0.340
Tl2 Tl 0.166 0.500 0.892
```

---

b) Here is crystalline Li3Sc2Tl4 at its relaxed geometry from the Alexandria database. Energies are from PBE-GGA.

The structure in CIF format:
```
data_Li3Sc2Tl4
_chemical_formula_sum 'Li12 Sc8 Tl16'
_symmetry_space_group_name_H-M 'C m c e'
_symmetry_Int_Tables_number 64
_symmetry_space_group_name_Hall '-C 2ac 2'
_cell_length_a 6.310
_cell_length_b 15.797
_cell_length_c 7.796
_cell_angle_alpha 90.00
_cell_angle_beta 90.00
_cell_angle_gamma 90.00
loop_
_atom_site_label
_atom_site_type_symbol
_atom_site_fract_x
_atom_site_fract_y
_atom_site_fract_z
Li1 Li 0.000 0.000 0.000
Li2 Li 0.250 0.229 0.250
Sc1 Sc 0.000 0.104 0.583
Tl1 Tl 0.000 0.174 0.959
Tl2 Tl 0.250 0.052 0.250
```

---

Which of them is the least stable? Correct choice: b).

---

a) Here is crystalline LiSc2V at its relaxed geometry from the Alexandria database. Energies are from PBE-GGA.

The structure in CIF format:
```
data_LiSc2V
_chemical_formula_sum 'Li3 Sc6 V3'
_symmetry_space_group_name_H-M 'R -3 m'
_symmetry_Int_Tables_number 166
_symmetry_space_group_name_Hall '-R 3 2"'
_cell_length_a 2.9375
_cell_length_b 2.9375
_cell_length_c 32.1646
_cell_angle_alpha 90.00
_cell_angle_beta 90.00
_cell_angle_gamma 120.00
loop_
_atom_site_label
_atom_site_type_symbol
_atom_site_fract_x
_atom_site_fract_y
_atom_site_fract_z
Li1 Li 0.0000 0.0000 0.0000
Sc1 Sc 0.0000 0.0000 0.4174
V1 V 0.0000 0.0000 0.5000
```

---

b) Here is crystalline LiSc2V at its relaxed geometry from the Alexandria database. Energies are from PBE-GGA.

The structure in CIF format:
```
data_LiSc2V
_chemical_formula_sum 'Li1 Sc2 V1'
_symmetry_space_group_name_H-M 'P 4/m m m'
_symmetry_Int_Tables_number 123
_symmetry_space_group_name_Hall '-P 4 2'
_cell_length_a 3.338
_cell_length_b 3.338
_cell_length_c 7.513
_cell_angle_alpha 90.00
_cell_angle_beta 90.00
_cell_angle_gamma 90.00
loop_
_atom_site_label
_atom_site_type_symbol
_atom_site_fract_x
_atom_site_fract_y
_atom_site_fract_z
Li1 Li 0.000 0.000 0.000
Sc1 Sc 0.500 0.500 0.286
V1 V 0.000 0.000 0.500
```

---

Which of them is the least stable? Correct choice: a).

---

a) Here is crystalline LiSc2V at its relaxed geometry from the Alexandria database. Energies are from PBE-GGA.

The structure in CIF format:
```
data_LiSc2V
_chemical_formula_sum 'Li4 Sc8 V4'
_symmetry_space_group_name_H-M 'I -4 2 d'
_symmetry_Int_Tables_number 122
_symmetry_space_group_name_Hall 'I -4 2bw'
_cell_length_a 4.080
_cell_length_b 4.080
_cell_length_c 20.190
_cell_angle_alpha 90.00
_cell_angle_beta 90.00
_cell_angle_gamma 90.00
loop_
_atom_site_label
_atom_site_type_symbol
_atom_site_fract_x
_atom_site_fract_y
_atom_site_fract_z
Li1 Li 0.000 0.000 0.000
Sc1 Sc 0.249 0.250 0.625
V1 V 0.000 0.000 0.500
```

---

b) Here is crystalline LiSc2V at its relaxed geometry from the Alexandria database. Energies are from PBE-GGA.

The structure in CIF format:
```
data_LiSc2V
_chemical_formula_sum 'Li4 Sc8 V4'
_symmetry_space_group_name_H-M 'F m -3 m'
_symmetry_Int_Tables_number 225
_symmetry_space_group_name_Hall '-F 4 2 3'
_cell_length_a 6.813
_cell_length_b 6.813
_cell_length_c 6.813
_cell_angle_alpha 90.00
_cell_angle_beta 90.00
_cell_angle_gamma 90.00
loop_
_atom_site_label
_atom_site_type_symbol
_atom_site_fract_x
_atom_site_fract_y
_atom_site_fract_z
Li1 Li 0.000 0.000 0.000
Sc1 Sc 0.250 0.250 0.250
V1 V 0.000 0.000 0.500
```

---

Which of them is the least stable? Correct choice: a).

---

a) Here is crystalline LiScW2 at its relaxed geometry from the Alexandria database. Energies are from PBE-GGA.

The structure in CIF format:
```
data_LiScW2
_chemical_formula_sum 'Li1 Sc1 W2'
_symmetry_space_group_name_H-M 'P m m m'
_symmetry_Int_Tables_number 47
_cell_length_a 2.700
_cell_length_b 4.745
_cell_length_c 5.368
_cell_angle_alpha 90.00
_cell_angle_beta 90.00
_cell_angle_gamma 90.00
loop_
_symmetry_equiv_pos_as_xyz
'x,y,z'
'-x,-y,-z'
'-x,-y,z'
'x,y,-z'
'x,-y,-z'
'-x,y,z'
'-x,y,-z'
'x,-y,z'
loop_
_atom_site_label
_atom_site_type_symbol
_atom_site_fract_x
_atom_site_fract_y
_atom_site_fract_z
Li1 Li 0.000 0.000 0.000
Sc1 Sc 0.000 0.000 0.500
W1 W 0.500 0.500 0.258
```

---

b) Here is crystalline LiScW2 at its relaxed geometry from the Alexandria database. Energies are from PBE-GGA.

The structure in CIF format:
```
data_LiScW2
_chemical_formula_sum 'Li1 Sc1 W2'
_symmetry_space_group_name_H-M 'P 4/m m m'
_symmetry_Int_Tables_number 123
_symmetry_space_group_name_Hall '-P 4 2'
_cell_length_a 3.270
_cell_length_b 3.270
_cell_length_c 6.163
_cell_angle_alpha 90.00
_cell_angle_beta 90.00
_cell_angle_gamma 90.00
loop_
_atom_site_label
_atom_site_type_symbol
_atom_site_fract_x
_atom_site_fract_y
_atom_site_fract_z
Li1 Li 0.000 0.000 0.000
Sc1 Sc 0.000 0.000 0.500
W1 W 0.500 0.500 0.195
```

---

Which of them is the least stable? Correct choice: b).

---

a) Here is crystalline LiScW2 at its relaxed geometry from the Alexandria database. Energies are from PBE-GGA.

The structure in CIF format:
```
data_LiScW2
_chemical_formula_sum 'Li4 Sc4 W8'
_symmetry_space_group_name_H-M 'I -4 2 d'
_symmetry_Int_Tables_number 122
_symmetry_space_group_name_Hall 'I -4 2bw'
_cell_length_a 3.768
_cell_length_b 3.768
_cell_length_c 19.906
_cell_angle_alpha 90.00
_cell_angle_beta 90.00
_cell_angle_gamma 90.00
loop_
_atom_site_label
_atom_site_type_symbol
_atom_site_fract_x
_atom_site_fract_y
_atom_site_fract_z
Li1 Li 0.000 0.000 0.000
Sc1 Sc 0.000 0.000 0.500
W1 W 0.245 0.250 0.625
```

---

b) Here is crystalline LiScW2 at its relaxed geometry from the Alexandria database. Energies are from PBE-GGA.

The structure in CIF format:
```
data_LiScW2
_chemical_formula_sum 'Li2 Sc2 W4'
_symmetry_space_group_name_H-M 'C 1 m 1'
_symmetry_Int_Tables_number 8
_cell_length_a 9.181
_cell_length_b 2.705
_cell_length_c 5.548
_cell_angle_alpha 90.00
_cell_angle_beta 93.07
_cell_angle_gamma 90.00
loop_
_symmetry_equiv_pos_as_xyz
'x,y,z'
'x,-y,z'
'x+1/2,y+1/2,z'
'x+1/2,-y+1/2,z'
loop_
_atom_site_label
_atom_site_type_symbol
_atom_site_fract_x
_atom_site_fract_y
_atom_site_fract_z
Li1 Li 0.000 0.000 0.000
Sc1 Sc 0.245 0.000 0.748
W1 W 0.245 0.500 0.259
W2 W 0.497 0.000 0.467
```

---

c) Here is crystalline LiScW2 at its relaxed geometry from the Alexandria database. Energies are from PBE-GGA.

The structure in CIF format:
```
data_LiScW2
_chemical_formula_sum 'Li1 Sc1 W2'
_symmetry_space_group_name_H-M 'P 4/m m m'
_symmetry_Int_Tables_number 123
_symmetry_space_group_name_Hall '-P 4 2'
_cell_length_a 2.691
_cell_length_b 2.691
_cell_length_c 9.407
_cell_angle_alpha 90.00
_cell_angle_beta 90.00
_cell_angle_gamma 90.00
loop_
_atom_site_label
_atom_site_type_symbol
_atom_site_fract_x
_atom_site_fract_y
_atom_site_fract_z
Li1 Li 0.000 0.000 0.000
Sc1 Sc 0.000 0.000 0.500
W1 W 0.500 0.500 0.247
```

---

d) Here is crystalline LiScW2 at its relaxed geometry from the Alexandria database. Energies are from PBE-GGA.

The structure in CIF format:
```
data_LiScW2
_chemical_formula_sum 'Li1 Sc1 W2'
_symmetry_space_group_name_H-M 'P 1 m 1'
_symmetry_Int_Tables_number 6
_cell_length_a 2.746
_cell_length_b 4.464
_cell_length_c 5.740
_cell_angle_alpha 90.00
_cell_angle_beta 100.26
_cell_angle_gamma 90.00
loop_
_symmetry_equiv_pos_as_xyz
'x,y,z'
'x,-y,z'
loop_
_atom_site_label
_atom_site_type_symbol
_atom_site_fract_x
_atom_site_fract_y
_atom_site_fract_z
Li1 Li 0.000 0.000 0.000
Sc1 Sc 0.710 0.500 0.265
W1 W 0.236 0.500 0.738
W2 W 0.443 0.000 0.539
```

---

Which of them is the least stable? Correct choice: a).

---

a) Here is crystalline LiYSc2 at its relaxed geometry from the Alexandria database. Energies are from PBE-GGA.

The structure in CIF format:
```
data_LiYSc2
_chemical_formula_sum 'Li1 Y1 Sc2'
_symmetry_space_group_name_H-M 'P 4/m m m'
_symmetry_Int_Tables_number 123
_symmetry_space_group_name_Hall '-P 4 2'
_cell_length_a 5.229
_cell_length_b 5.229
_cell_length_c 3.740
_cell_angle_alpha 90.00
_cell_angle_beta 90.00
_cell_angle_gamma 90.00
loop_
_atom_site_label
_atom_site_type_symbol
_atom_site_fract_x
_atom_site_fract_y
_atom_site_fract_z
Li1 Li 0.000 0.000 0.000
Y1 Y 0.500 0.500 0.000
Sc1 Sc 0.000 0.500 0.500
```

---

b) Here is crystalline LiYSc2 at its relaxed geometry from the Alexandria database. Energies are from PBE-GGA.

The structure in CIF format:
```
data_LiYSc2
_chemical_formula_sum 'Li1 Y1 Sc2'
_symmetry_space_group_name_H-M 'P m m m'
_symmetry_Int_Tables_number 47
_cell_length_a 3.632
_cell_length_b 5.237
_cell_length_c 5.280
_cell_angle_alpha 90.00
_cell_angle_beta 90.00
_cell_angle_gamma 90.00
loop_
_symmetry_equiv_pos_as_xyz
'x,y,z'
'-x,-y,-z'
'-x,-y,z'
'x,y,-z'
'x,-y,-z'
'-x,y,z'
'-x,y,-z'
'x,-y,z'
loop_
_atom_site_label
_atom_site_type_symbol
_atom_site_fract_x
_atom_site_fract_y
_atom_site_fract_z
Li1 Li 0.000 0.000 0.000
Y1 Y 0.500 0.500 0.000
Sc1 Sc 0.000 0.500 0.500
Sc2 Sc 0.500 0.000 0.500
```

---

Which of them is the least stable? Correct choice: a).